[1]
The following is a DFT calculation (PBE) of Ho2Ga5Co2Cu after structural relaxation.

```
data_Ho2Ga5Co2Cu
_chemical_formula_sum 'Ho4 Ga10 Co4 Cu2'
_cell_length_a 9.310
_cell_length_b 9.310
_cell_length_c 3.843
_cell_angle_alpha 90.00
_cell_angle_beta 90.00
_cell_angle_gamma 90.00
_symmetry_space_group_name_H-M 'P 4/m b m'
_symmetry_Int_Tables_number 127
_symmetry_space_group_name_Hall '-P 4 2ab'
loop_
_atom_site_label
_atom_site_type_symbol
_atom_site_fract_x
_atom_site_fract_y
_atom_site_fract_z
Ho1 Ho 0.183 0.317 0.000
Ga1 Ga 0.000 0.500 0.500
Ga2 Ga 0.058 0.795 0.500
Co1 Co 0.112 0.612 0.000
Cu1 Cu 0.000 0.000 0.000
```

Computed properties:
ΔE_f (eV/atom): -0.38
Magnetization (μB per formula unit): 0.00
N(E_F) (states/eV/cell): 14.465
Raw total energy (eV/atom): -4.6427
Mass density (g/cm³): 8.57

***

[2]
The following is a DFT calculation (PBE) of PbCl5 after structural relaxation.

```
data_PbCl5
_chemical_formula_sum 'Pb2 Cl10'
_cell_length_a 10.016
_cell_length_b 4.355
_cell_length_c 10.270
_cell_angle_alpha 90.00
_cell_angle_beta 117.37
_cell_angle_gamma 90.00
_symmetry_space_group_name_H-M 'C 1 m 1'
_symmetry_Int_Tables_number 8
loop_
_symmetry_equiv_pos_as_xyz
'x,y,z'
'x,-y,z'
'x+1/2,y+1/2,z'
'x+1/2,-y+1/2,z'
loop_
_atom_site_label
_atom_site_type_symbol
_atom_site_fract_x
_atom_site_fract_y
_atom_site_fract_z
Pb1 Pb 0.000 0.000 0.000
Cl1 Cl 0.017 0.000 0.735
Cl2 Cl 0.024 0.500 0.317
Cl3 Cl 0.214 0.500 0.076
Cl4 Cl 0.243 0.500 0.470
Cl5 Cl 0.304 0.000 0.819
```

Computed properties:
Uncorrected formation energy (eV/atom): -0.42
E above lowest polymorph (meV per atom): 72
Magnetization (μB per formula unit): 0.98
N(E_F) (states/eV/cell): 0.505
Raw total energy (eV/atom): -2.5806
Mass density (g/cm³): 3.21

***

[3]
The following is a DFT calculation (PBE) of AlGaPb2F after structural relaxation.

```
data_AlGaPb2F
_chemical_formula_sum 'Al1 Ga1 Pb2 F1'
_cell_length_a 5.871
_cell_length_b 5.871
_cell_length_c 3.825
_cell_angle_alpha 90.00
_cell_angle_beta 90.00
_cell_angle_gamma 90.00
_symmetry_space_group_name_H-M 'P 4/m m m'
_symmetry_Int_Tables_number 123
_symmetry_space_group_name_Hall '-P 4 2'
loop_
_atom_site_label
_atom_site_type_symbol
_atom_site_fract_x
_atom_site_fract_y
_atom_site_fract_z
Al1 Al 0.000 0.000 0.000
Ga1 Ga 0.500 0.500 0.000
Pb1 Pb 0.000 0.500 0.500
F1 F 0.000 0.000 0.500
```

Computed properties:
Uncorrected formation energy (eV/atom): -0.33
Magnetization (μB per formula unit): 0.00
N(E_F) (states/eV/cell): 2.380
Raw total energy (eV/atom): -3.5437
Mass density (g/cm³): 6.68

***

[4]
The following is a DFT calculation (PBE) of CsCd2I4 after structural relaxation.

```
data_CsCd2I4
_chemical_formula_sum 'Cs4 Cd8 I16'
_cell_length_a 15.112
_cell_length_b 9.295
_cell_length_c 11.865
_cell_angle_alpha 90.00
_cell_angle_beta 128.99
_cell_angle_gamma 90.00
_symmetry_space_group_name_H-M 'C 1 2 1'
_symmetry_Int_Tables_number 5
loop_
_symmetry_equiv_pos_as_xyz
'x,y,z'
'-x,y,-z'
'x+1/2,y+1/2,z'
'-x+1/2,y+1/2,-z'
loop_
_atom_site_label
_atom_site_type_symbol
_atom_site_fract_x
_atom_site_fract_y
_atom_site_fract_z
Cs1 Cs 0.224 0.000 0.463
Cd1 Cd 0.000 0.500 0.000
Cd2 Cd 0.000 0.501 0.500
Cd3 Cd 0.250 0.250 0.000
I1 I 0.006 0.720 0.195
I2 I 0.007 0.280 0.195
I3 I 0.223 0.000 0.134
I4 I 0.239 0.000 0.805
```

Computed properties:
Uncorrected formation energy (eV/atom): -0.70
Magnetization (μB per formula unit): 0.00
Raw total energy (eV/atom): -1.9740
Mass density (g/cm³): 4.44

***

[5]
The following is a DFT calculation (PBE) of YSc3Ti after structural relaxation.

```
data_YSc3Ti
_chemical_formula_sum 'Y1 Sc3 Ti1'
_cell_length_a 5.100
_cell_length_b 5.100
_cell_length_c 5.100
_cell_angle_alpha 90.00
_cell_angle_beta 90.00
_cell_angle_gamma 90.00
_symmetry_space_group_name_H-M 'P m -3 m'
_symmetry_Int_Tables_number 221
_symmetry_space_group_name_Hall '-P 4 2 3'
loop_
_atom_site_label
_atom_site_type_symbol
_atom_site_fract_x
_atom_site_fract_y
_atom_site_fract_z
Y1 Y 0.000 0.000 0.000
Sc1 Sc 0.000 0.500 0.500
Ti1 Ti 0.500 0.500 0.500
```

Computed properties:
ΔE_f (eV/atom): 0.42
E above lowest polymorph (meV per atom): 0
Magnetization (μB per formula unit): 0.00
N(E_F) (states/eV/cell): 9.570
Raw total energy (eV/atom): -6.2509
Mass density (g/cm³): 3.40

***

[6]
The following is a DFT calculation (PBE) of Be2AsCl after structural relaxation.

```
data_Be2AsCl
_chemical_formula_sum 'Be8 As4 Cl4'
_cell_length_a 6.275
_cell_length_b 6.275
_cell_length_c 6.275
_cell_angle_alpha 90.00
_cell_angle_beta 90.00
_cell_angle_gamma 90.00
_symmetry_space_group_name_H-M 'F -4 3 m'
_symmetry_Int_Tables_number 216
_symmetry_space_group_name_Hall 'F -4 2 3'
loop_
_atom_site_label
_atom_site_type_symbol
_atom_site_fract_x
_atom_site_fract_y
_atom_site_fract_z
Be1 Be 0.000 0.000 0.000
Be2 Be 0.250 0.250 0.250
As1 As 0.000 0.000 0.500
Cl1 Cl 0.250 0.250 0.750
```

Computed properties:
Uncorrected formation energy (eV/atom): 0.94
E above lowest polymorph (meV per atom): 1350
Magnetization (μB per formula unit): 0.00
N(E_F) (states/eV/cell): 12.456
Raw total energy (eV/atom): -2.5510
Mass density (g/cm³): 3.45

***

[7]
The following is a DFT calculation (PBE) of FeTc3Br after structural relaxation.

```
data_FeTc3Br
_chemical_formula_sum 'Fe1 Tc3 Br1'
_cell_length_a 4.486
_cell_length_b 4.486
_cell_length_c 4.486
_cell_angle_alpha 90.00
_cell_angle_beta 90.00
_cell_angle_gamma 90.00
_symmetry_space_group_name_H-M 'P m -3 m'
_symmetry_Int_Tables_number 221
_symmetry_space_group_name_Hall '-P 4 2 3'
loop_
_atom_site_label
_atom_site_type_symbol
_atom_site_fract_x
_atom_site_fract_y
_atom_site_fract_z
Fe1 Fe 0.000 0.000 0.000
Tc1 Tc 0.000 0.500 0.500
Br1 Br 0.500 0.500 0.500
```

Computed properties:
Uncorrected formation energy (eV/atom): 2.04
E above lowest polymorph (meV per atom): 461
Magnetization (μB per formula unit): 0.51
N(E_F) (states/eV/cell): 10.413
Raw total energy (eV/atom): -6.2023
Mass density (g/cm³): 7.91